[1]
The following is a DFT calculation (PBE) of an optimized crystal structure of PrZn2SiIr.

It has space group Imm2 (No. 44), with a = 3.981 Å, b = 4.244 Å, c = 10.831 Å, α = 90.00°, β = 90.00° and γ = 90.00°. Symmetry generates all atoms from Pr at (0.000, 0.000, 0.000), Zn at (0.000, 0.000, 0.617), Zn at (0.000, 0.500, 0.257), Si at (0.000, 0.000, 0.384) and Ir at (0.000, 0.500, 0.762).

For the calculated density, the calculation gives 8.932 g/cm³. Its total energy is -4.840 eV per atom. Its total magnetization is 0.00 μB/f.u. For the formation energy from raw total energies, the calculation gives -518 meV per atom.


[2]
The following is a DFT calculation (PBE) of an optimized crystal structure of InHgRu2.

It has space group R3m (No. 160, hexagonal axes), with a = 2.9501 Å, b = 2.9501 Å, c = 28.5904 Å, α = 90.00°, β = 90.00° and γ = 120.00°. Symmetry generates all atoms from In at (0.0000, 0.0000, 0.0000), Hg at (0.0000, 0.0000, 0.2348), Ru at (0.0000, 0.0000, 0.4830) and Ru at (0.0000, 0.0000, 0.7484).

For the calculated density, the calculation gives 11.965 g/cm³. Its total energy is -5.018 eV per atom. For the formation energy from the elements, the calculation gives 0.3796 eV/atom. Its total magnetization is 0.00 μB/f.u.


[3]
The following is a DFT calculation (PBE) of an optimized crystal structure of BaLaPb.

It has space group F-43m (No. 216), with a = 8.086 Å, b = 8.086 Å, c = 8.086 Å, α = 90.00°, β = 90.00° and γ = 90.00°. Symmetry generates all atoms from Ba at (0.000, 0.000, 0.000), La at (0.000, 0.000, 0.500) and Pb at (0.250, 0.250, 0.250).

For the calculated density, the calculation gives 6.074 g/cm³. Its total energy is -3.803 eV per atom. For the formation energy from the elements, the calculation gives -0.2838 eV/atom. Its total magnetization is 0.03 μB/f.u.


[4]
The following is a DFT calculation (PBE) of an optimized crystal structure of Pr6SbIr2I3.

It has space group C2/m (No. 12), with a = 7.598 Å, b = 13.139 Å, c = 8.464 Å, α = 90.00°, β = 107.42° and γ = 90.00°. Symmetry generates all atoms from Pr at (0.201, 0.000, 0.192), Pr at (0.247, 0.318, 0.193), Sb at (0.000, 0.500, 0.000), Ir at (0.000, 0.167, 0.000), I at (0.000, 0.000, 0.500) and I at (0.000, 0.340, 0.500).

For the calculated density, the calculation gives 7.137 g/cm³. Its total energy is -5.580 eV per atom. Its total magnetization is 0.00 μB/f.u. For the formation energy from raw total energies, the calculation gives -982 meV per atom.


[5]
The following is a DFT calculation (PBE) of an optimized crystal structure of YInSe.

It has space group I4mm (No. 107), with a = 3.762 Å, b = 3.762 Å, c = 12.132 Å, α = 90.00°, β = 90.00° and γ = 90.00°. Symmetry generates all atoms from Y at (0.000, 0.000, 0.000), In at (0.000, 0.000, 0.334) and Se at (0.000, 0.000, 0.590).

For the calculated density, the calculation gives 5.467 g/cm³. Its total energy is -5.147 eV per atom. Its total magnetization is 0.00 μB/f.u. For the formation energy from raw total energies, the calculation gives -918 meV per atom.


[6]
The following is a DFT calculation (PBE) of an optimized crystal structure of Ca2EuSn.

It has space group P4/mmm (No. 123), with a = 5.019 Å, b = 5.019 Å, c = 5.137 Å, α = 90.00°, β = 90.00° and γ = 90.00°. Symmetry generates all atoms from Ca at (0.000, 0.500, 0.000), Eu at (0.000, 0.000, 0.500) and Sn at (0.500, 0.500, 0.500).

For the calculated density, the calculation gives 4.502 g/cm³. Its total energy is -4.996 eV per atom. For the formation energy from the elements, the calculation gives -0.4258 eV/atom. Its total magnetization is 6.99 μB/f.u.


[7]
The following is a DFT calculation (PBE) of an optimized crystal structure of CeHg2Pd8.

It has space group C2/m (No. 12), with a = 13.787 Å, b = 5.557 Å, c = 5.360 Å, α = 90.00°, β = 103.95° and γ = 90.00°. Symmetry generates all atoms from Ce at (0.000, 0.000, 0.000), Hg at (0.217, 0.000, 0.433), Pd at (0.080, 0.500, 0.211), Pd at (0.089, 0.256, 0.689) and Pd at (0.247, 0.500, 0.032).

For the calculated density, the calculation gives 11.605 g/cm³. Its total energy is -4.648 eV per atom. For the formation energy from the elements, the calculation gives -0.2773 eV/atom. Its total magnetization is 0.13 μB/f.u.


[8]
The following is a DFT calculation (PBE) of an optimized crystal structure of RbTl2Cd.

It has space group P4/mmm (No. 123), with a = 3.849 Å, b = 3.849 Å, c = 8.910 Å, α = 90.00°, β = 90.00° and γ = 90.00°. Symmetry generates all atoms from Rb at (0.000, 0.000, 0.000), Tl at (0.500, 0.500, 0.304) and Cd at (0.000, 0.000, 0.500).

For the calculated density, the calculation gives 7.632 g/cm³. Its total energy is -1.700 eV per atom. For the formation energy from the elements, the calculation gives -0.0461 eV/atom. Its total magnetization is 0.00 μB/f.u.


[9]
The following is a DFT calculation (PBE) of an optimized crystal structure of ScHgSb.

It has space group F-43m (No. 216), with a = 6.917 Å, b = 6.917 Å, c = 6.917 Å, α = 90.00°, β = 90.00° and γ = 90.00°. Symmetry generates all atoms from Sc at (0.000, 0.000, 0.000), Hg at (0.250, 0.250, 0.250) and Sb at (0.250, 0.250, 0.750).

For the calculated density, the calculation gives 7.372 g/cm³. Its total energy is -3.992 eV per atom. Its total magnetization is 0.00 μB/f.u. For the formation energy from raw total energies, the calculation gives -407 meV per atom.


[10]
The following is a DFT calculation (PBE) of an optimized crystal structure of Sm3ZnGe.

It has space group P-1 (No. 2), with a = 4.214 Å, b = 7.484 Å, c = 8.842 Å, α = 89.09°, β = 88.86° and γ = 75.30°. Symmetry generates all atoms from Sm at (0.039, 0.404, 0.177), Sm at (0.240, 0.020, 0.824), Sm at (0.375, 0.694, 0.406), Zn at (0.222, 0.097, 0.429) and Ge at (0.393, 0.712, 0.065).

For the calculated density, the calculation gives 7.256 g/cm³. Its total energy is -4.420 eV per atom. For the formation energy from the elements, the calculation gives -0.4098 eV/atom. Its total magnetization is 0.00 μB/f.u.


[11]
The following is a DFT calculation (PBE) of an optimized crystal structure of Ga2BiTe.

It has space group R-3m (No. 166, hexagonal axes), with a = 3.9054 Å, b = 3.9054 Å, c = 28.2855 Å, α = 90.00°, β = 90.00° and γ = 120.00°. Symmetry generates all atoms from Ga at (0.0000, 0.0000, 0.1038), Bi at (0.0000, 0.0000, 0.0000) and Te at (0.0000, 0.0000, 0.5000).

For the calculated density, the calculation gives 6.347 g/cm³. Its total energy is -3.153 eV per atom. Its total magnetization is 0.00 μB/f.u. For the formation energy from raw total energies, the calculation gives 116 meV per atom.


[12]
The following is a DFT calculation (PBE) of an optimized crystal structure of NdThSe2.

It has space group R-3m (No. 166, hexagonal axes), with a = 4.1733 Å, b = 4.1733 Å, c = 21.0631 Å, α = 90.00°, β = 90.00° and γ = 120.00°. Symmetry generates all atoms from Nd at (0.0000, 0.0000, 0.0000), Th at (0.0000, 0.0000, 0.5000) and Se at (0.0000, 0.0000, 0.2504).

For the calculated density, the calculation gives 8.376 g/cm³. Its total energy is -6.469 eV per atom. Its total magnetization is 0.00 μB/f.u. For the formation energy from raw total energies, the calculation gives -1680 meV per atom.


[13]
The following is a DFT calculation (PBE) of an optimized crystal structure of Tb5HoEr4.

It has space group C2 (No. 5), with a = 11.734 Å, b = 6.261 Å, c = 10.016 Å, α = 90.00°, β = 121.23° and γ = 90.00°. Symmetry generates all atoms from Tb at (0.000, 0.000, 0.000), Tb at (0.124, 0.273, 0.319), Tb at (0.239, 0.775, 0.924), Ho at (0.000, 0.548, 0.000), Er at (0.059, 0.772, 0.388) and Er at (0.177, 0.274, 0.687).

For the calculated density, the calculation gives 8.596 g/cm³. Its total energy is -4.399 eV per atom. For the formation energy from the elements, the calculation gives 0.1987 eV/atom. Its total magnetization is 0.00 μB/f.u.


[14]
The following is a DFT calculation (PBE) of an optimized crystal structure of Sm2SiAg.

It has space group R-3m (No. 166, hexagonal axes), with a = 4.1842 Å, b = 4.1842 Å, c = 27.3631 Å, α = 90.00°, β = 90.00° and γ = 120.00°. Symmetry generates all atoms from Sm at (0.0000, 0.0000, 0.1105), Si at (0.0000, 0.0000, 0.5000) and Ag at (0.0000, 0.0000, 0.0000).

For the calculated density, the calculation gives 5.243 g/cm³. Its total energy is -4.378 eV per atom. Its total magnetization is 0.00 μB/f.u. For the formation energy from raw total energies, the calculation gives 50 meV per atom.